(1)
A relaxed structure of PrDyHo. Source: Alexandria via LeMat-Bulk, functional PBE.

Results
Its space-group type is I4mm. The energy relative to the lowest polymorph listed for this composition is 7 meV per atom. The formation energy is 0.56 kcal/mol of atoms. For the total energy, the calculation gives -4.629 eV per atom.

a b c (Å): 8.026 8.026 8.026
angles (deg): 154.08 154.08 36.98
Sites, in units of the cell vectors:
Pr (0.000, 0.000, 0.000)
Dy (0.331, 0.331, 0.000)
Ho (0.669, 0.669, 0.000)

---

(2)
A relaxed structure of Pr3Dy4Ho. Source: Alexandria via LeMat-Bulk, functional PBE.

Results
Its space-group type is Immm. The energy relative to the lowest polymorph listed for this composition is 103 meV per atom. The formation energy is 2.99 kcal/mol of atoms. For the total energy, the calculation gives -4.536 eV per atom.

a b c (Å): 8.969 8.969 8.969
angles (deg): 157.52 98.18 86.20
Sites, in units of the cell vectors:
Pr (0.000, 0.000, 0.000)
Pr (0.257, 0.757, 0.500)
Pr (0.743, 0.243, 0.500)
Dy (0.120, 0.366, 0.755)
Dy (0.389, 0.634, 0.755)
Dy (0.611, 0.366, 0.245)
Dy (0.880, 0.634, 0.245)
Ho (0.500, 0.500, 0.000)

---

(3)
A relaxed structure of PrDy2Ho. Source: Alexandria via LeMat-Bulk, functional PBE.

Results
Its space-group type is P4/mmm. The energy relative to the lowest polymorph listed for this composition is 3 meV per atom. The formation energy is 0.56 kcal/mol of atoms. For the total energy, the calculation gives -4.616 eV per atom.

a b c (Å): 3.581 3.581 10.136
angles (deg): 90.00 90.00 90.00
Sites, in units of the cell vectors:
Pr (0.000, 0.000, 0.000)
Dy (0.500, 0.500, 0.256)
Dy (0.500, 0.500, 0.744)
Ho (0.000, 0.000, 0.500)

---

(4)
A relaxed structure of Pr4Dy4Ho. Source: Alexandria via LeMat-Bulk, functional PBE.

Results
Its space-group type is I4/mmm. The energy relative to the lowest polymorph listed for this composition is 0 meV per atom. The formation energy is 0.50 kcal/mol of atoms. For the total energy, the calculation gives -4.656 eV per atom.

a b c (Å): 8.093 8.093 8.093
angles (deg): 95.69 95.69 143.29
Sites, in units of the cell vectors:
Pr (0.167, 0.167, 0.333)
Pr (0.167, 0.833, 0.000)
Pr (0.833, 0.167, 0.000)
Pr (0.833, 0.833, 0.667)
Dy (0.165, 0.500, 0.665)
Dy (0.500, 0.165, 0.665)
Dy (0.500, 0.835, 0.335)
Dy (0.835, 0.500, 0.335)
Ho (0.500, 0.500, 0.000)

---

(5)
A relaxed structure of Pr4Dy15Ho. Source: Alexandria via LeMat-Bulk, functional PBE.

Results
Its space-group type is P4/mmm. The formation energy is 0.47 kcal/mol of atoms. For the total energy, the calculation gives -4.616 eV per atom.

a b c (Å): 5.063 5.063 25.216
angles (deg): 90.00 90.00 90.00
Sites, in units of the cell vectors:
Pr (0.000, 0.000, 0.101)
Pr (0.000, 0.000, 0.301)
Pr (0.000, 0.000, 0.699)
Pr (0.000, 0.000, 0.899)
Dy (0.000, 0.500, 0.000)
Dy (0.000, 0.500, 0.201)
Dy (0.000, 0.500, 0.402)
Dy (0.000, 0.500, 0.598)
Dy (0.000, 0.500, 0.799)
Dy (0.500, 0.000, 0.000)
Dy (0.500, 0.000, 0.201)
Dy (0.500, 0.000, 0.402)
Dy (0.500, 0.000, 0.598)
Dy (0.500, 0.000, 0.799)
Dy (0.500, 0.500, 0.100)
Dy (0.500, 0.500, 0.302)
Dy (0.500, 0.500, 0.500)
Dy (0.500, 0.500, 0.698)
Dy (0.500, 0.500, 0.900)
Ho (0.000, 0.000, 0.500)

---

(6)
A relaxed structure of Pr2Dy4Ho3. Source: Alexandria via LeMat-Bulk, functional PBE.

Results
Its space-group type is C2/c. The formation energy is 2.18 kcal/mol of atoms. For the total energy, the calculation gives -4.539 eV per atom.

a b c (Å): 10.195 10.195 5.998
angles (deg): 95.84 95.84 69.77
Sites, in units of the cell vectors:
Pr (0.009, 0.780, 0.720)
Pr (0.220, 0.991, 0.780)
Pr (0.780, 0.009, 0.220)
Pr (0.991, 0.220, 0.280)
Dy (0.124, 0.341, 0.871)
Dy (0.332, 0.545, 0.956)
Dy (0.341, 0.124, 0.371)
Dy (0.455, 0.668, 0.544)
Dy (0.545, 0.332, 0.456)
Dy (0.659, 0.876, 0.629)
Dy (0.668, 0.455, 0.044)
Dy (0.876, 0.659, 0.129)
Ho (0.151, 0.849, 0.250)
Ho (0.185, 0.487, 0.412)
Ho (0.487, 0.185, 0.912)
Ho (0.513, 0.815, 0.088)
Ho (0.815, 0.513, 0.588)
Ho (0.849, 0.151, 0.750)